1.
Ac6Cd2Co3, relaxed, DFT PBE; DFT formation energy = -0.0472 eV/atom
1.0
6.951 0.000 2.077
3.476 6.279 1.038
-0.076 0.000 8.749
Ac Cd Co
6 2 3
Direct
0.397 0.664 0.811 Ac
0.732 0.000 0.813 Ac
0.060 0.336 0.811 Ac
0.268 0.000 0.187 Ac
0.603 0.336 0.189 Ac
0.940 0.664 0.189 Ac
0.165 0.670 0.500 Cd
0.835 0.330 0.500 Cd
0.000 0.000 0.000 Co
0.334 0.332 0.000 Co
0.666 0.668 0.000 Co



2.
V2CrS4, relaxed, DFT PBE; formation energy (no corrections) = -1.2 eV per formula unit
1.0
4.703 0.000 0.000
0.000 4.703 0.000
2.351 2.351 5.883
Cr S V
1 4 2
Direct
0.000 0.000 0.000 Cr
0.200 0.200 0.601 S
0.800 0.800 0.399 S
0.000 0.500 0.000 S
0.500 0.000 0.000 S
0.384 0.384 0.231 V
0.616 0.616 0.769 V



3.
BeRuN2O, relaxed, DFT PBE; formation energy (no corrections) = 4.1 eV per formula unit
1.0
3.430 0.000 0.000
0.000 3.430 0.000
0.000 0.000 3.498
Ru Be O N
1 1 1 2
Direct
0.500 0.500 0.500 Ru
0.000 0.000 0.000 Be
0.000 0.000 0.500 O
0.000 0.500 0.000 N
0.500 0.000 0.000 N



4.
HfTaAlOs2, relaxed, DFT PBE; DFT formation energy = 1.6411 eV/atom
1.0
4.751 0.000 0.000
0.000 5.002 0.000
0.000 0.000 4.751
Hf Os Al Ta
1 2 1 1
Direct
0.000 0.500 0.000 Hf
0.000 0.000 0.500 Os
0.500 0.000 0.000 Os
0.500 0.500 0.500 Al
0.000 0.000 0.000 Ta



5.
AlSb3, relaxed, DFT PBE; formation energy (no corrections) = 1.0 eV per formula unit
1.0
-2.157 3.015 -3.620
-3.422 -3.739 -1.076
-2.339 1.403 2.563
Sb Al
3 1
Direct
0.500 0.000 0.500 Sb
0.500 0.500 0.000 Sb
0.000 0.500 0.500 Sb
0.000 0.000 0.000 Al



6.
HOsNO2, relaxed, DFT PBE; raw total energy = -27.1 eV per cell
1.0
2.836 0.000 0.000
0.000 6.631 0.000
0.000 0.000 2.836
H Os O N
1 1 2 1
Direct
0.000 0.000 0.000 H
0.000 0.500 0.000 Os
0.000 0.000 0.500 O
0.500 0.000 0.000 O
0.500 0.500 0.500 N



Let's list volume in order: 382.9 130.1 41.1 112.9 100.5 53.3 Å³ per cell.